(1)
KLa2Y | GGA-PBE | optimized geometry

Summary:
The total energy is -3.71 eV/atom. The spin magnetization is 0.0 Bohr magnetons per cell. The calculated volume comes out at 38.71 A^3/atom.

Lattice parameters (Å, degrees): 7.5139 7.5139 7.5139 102.57 102.57 124.38
Positions (direct):
K 0.0000 0.0000 0.0000
K 0.7500 0.2500 0.5000
La 0.1270 0.6250 0.0020
La 0.3750 0.3770 0.5020
La 0.6230 0.1250 0.9980
La 0.8750 0.8730 0.4980
Y 0.2500 0.7500 0.5000
Y 0.5000 0.5000 0.0000


(2)
KLa2Zn2 | GGA-PBE | optimized geometry

Summary:
The total energy is -2.70 eV/atom. The spin magnetization is 1.0 Bohr magnetons per cell. The calculated volume comes out at 30.63 A^3/atom.

Lattice parameters (Å, degrees): 9.3067 9.3067 3.5364 90.00 90.00 90.00
Positions (direct):
K 0.0000 0.0000 0.0000
K 0.5000 0.5000 0.0000
La 0.1547 0.3453 0.5000
La 0.3453 0.8453 0.5000
La 0.6547 0.1547 0.5000
La 0.8453 0.6547 0.5000
Zn 0.1336 0.6336 0.0000
Zn 0.3664 0.1336 0.0000
Zn 0.6336 0.8664 0.0000
Zn 0.8664 0.3664 0.0000


(3)
KLa3Zn | GGA-PBE | optimized geometry

Summary:
The total energy is -2.33 eV/atom. The spin magnetization is 0.0 Bohr magnetons per cell. The calculated volume comes out at 35.82 A^3/atom.

Lattice parameters (Å, degrees): 5.6365 5.6365 5.6365 90.00 90.00 90.00
Positions (direct):
K 0.0000 0.0000 0.0000
La 0.0000 0.0000 0.5000
La 0.0000 0.5000 0.0000
La 0.5000 0.0000 0.0000
Zn 0.5000 0.5000 0.5000


Question: The highest spin magnetization belongs to which entry?
Answer: KLa2Zn2


Question: spin magnetization of number 3 (KLa3Zn)?
Answer: 0.0 Bohr magnetons per cell


Question: Which formula does entry 1 have?
Answer: KLa2Y